1.
A relaxed YSi2Pd crystal, computed with PBE.

Values from the calculation:
Formation energy (no corrections) in eV per formula unit: -3.3

Cell lengths 13.4152, 4.0782, 10.5652 Å; angles 90.00, 90.00, 90.00 degrees
Closest atoms and distances in Å follow each position.
Positions (direct):
Y 0.0504 0.2500 0.2454  9 Si 2.95-3.22, 3 Pd 3.28-3.29
Y 0.1992 0.7500 0.9751  10 Si 3.05-3.25, 4 Pd 3.13-3.34
Y 0.3008 0.2500 0.4751  10 Si 3.05-3.25, 4 Pd 3.13-3.34
Y 0.4496 0.7500 0.7454  9 Si 2.95-3.22, 3 Pd 3.28-3.29
Y 0.5504 0.2500 0.2546  9 Si 2.95-3.22, 3 Pd 3.28-3.29
Y 0.6992 0.7500 0.5249  10 Si 3.05-3.25, 4 Pd 3.13-3.34
Y 0.8008 0.2500 0.0249  10 Si 3.05-3.25, 4 Pd 3.13-3.34
Y 0.9496 0.7500 0.7546  9 Si 2.95-3.22, 3 Pd 3.28-3.29
Si 0.0302 0.2500 0.9577  3 Si 2.31-2.37
Si 0.1157 0.2500 0.7677  2 Si 2.31-2.36, 3 Pd 2.37-2.56
Si 0.1256 0.7500 0.4611  1 Si 2.34, 4 Pd 2.43-2.54
Si 0.2082 0.7500 0.2661  2 Si 2.34-2.36, 2 Pd 2.51
Si 0.2918 0.2500 0.7661  2 Si 2.34-2.36, 2 Pd 2.51
Si 0.3744 0.2500 0.9611  1 Si 2.34, 4 Pd 2.43-2.54
Si 0.3843 0.7500 0.2677  2 Si 2.31-2.36, 3 Pd 2.37-2.56
Si 0.4698 0.7500 0.4577  3 Si 2.31-2.37
Si 0.5302 0.2500 0.5423  3 Si 2.31-2.37
Si 0.6157 0.2500 0.7323  2 Si 2.31-2.36, 3 Pd 2.37-2.56
Si 0.6256 0.7500 0.0389  1 Si 2.34, 4 Pd 2.43-2.54
Si 0.7082 0.7500 0.2339  2 Si 2.34-2.36, 2 Pd 2.51
Si 0.7918 0.2500 0.7339  2 Si 2.34-2.36, 2 Pd 2.51
Si 0.8744 0.2500 0.5389  1 Si 2.34, 4 Pd 2.43-2.54
Si 0.8843 0.7500 0.2323  2 Si 2.31-2.36, 3 Pd 2.37-2.56
Si 0.9698 0.7500 0.0423  3 Si 2.31-2.37
Pd 0.0602 0.2500 0.5552  4 Si 2.37-2.50
Pd 0.2066 0.7500 0.6787  5 Si 2.51-2.56
Pd 0.2934 0.2500 0.1787  5 Si 2.51-2.56
Pd 0.4398 0.7500 0.0552  4 Si 2.37-2.50
Pd 0.5602 0.2500 0.9448  4 Si 2.37-2.50
Pd 0.7066 0.7500 0.8213  5 Si 2.51-2.56
Pd 0.7934 0.2500 0.3213  5 Si 2.51-2.56
Pd 0.9398 0.7500 0.4448  4 Si 2.37-2.50

2.
A relaxed Sc3TlMo crystal, computed with PBE.

Values from the calculation:
Energy relative to the lowest polymorph listed for this composition in kJ/mol of formula units: 0
Formation energy in kJ/mol of atoms: 37.23

Cell lengths 5.0728, 5.0728, 5.0728 Å; angles 90.00, 90.00, 90.00 degrees
Closest atoms and distances in Å follow each position.
Positions (direct):
Sc 0.0000 0.0000 0.5000  2 Mo 2.54
Sc 0.0000 0.5000 0.0000  2 Mo 2.54
Sc 0.5000 0.0000 0.0000  2 Mo 2.54
Tl 0.5000 0.5000 0.5000  12 Sc 3.59
Mo 0.0000 0.0000 0.0000  6 Sc 2.54

3.
A relaxed Pm2In5Rh4 crystal, computed with PBE.

Values from the calculation:
Formation energy in kJ/mol of atoms: -36.24

Cell lengths 9.7781, 8.8448, 5.8332 Å; angles 80.72, 63.21, 36.07 degrees
Closest atoms and distances in Å follow each position.
Positions (direct):
Pm 0.1434 0.1434 0.8566  6 Rh 3.27-3.57, 4 In 3.42
Pm 0.8566 0.8566 0.1434  6 Rh 3.27-3.57, 4 In 3.42
In 0.0000 0.0000 0.5000  4 Rh 2.80, 4 In 2.88-2.92
In 0.2500 0.2500 0.2500  4 Rh 2.68, 2 In 2.88
In 0.5000 0.5000 0.0000  4 Rh 2.80, 4 In 2.88-2.92
In 0.5000 0.5000 0.5000  4 Rh 2.64, 4 In 2.92
In 0.7500 0.7500 0.7500  4 Rh 2.68, 2 In 2.88
Rh 0.2213 0.5195 0.4805  5 In 2.64-2.80
Rh 0.4805 0.7787 0.2213  5 In 2.64-2.80
Rh 0.5195 0.2213 0.7787  5 In 2.64-2.80
Rh 0.7787 0.4805 0.5195  5 In 2.64-2.80

4.
A relaxed SiC3 crystal, computed with PBE.

Values from the calculation:
Energy relative to the lowest polymorph listed for this composition in kJ/mol of formula units: 711
Formation energy (no corrections) in eV per formula unit: 9.4

Cell lengths 2.7262, 2.7262, 4.7467 Å; angles 90.00, 90.00, 120.00 degrees
Closest atoms and distances in Å follow each position.
Positions (direct):
Si 0.0000 0.0000 0.0000  6 C 2.05
C 0.0000 0.0000 0.5000  6 C 1.90
C 0.3333 0.6667 0.2769  4 C 1.90-2.12, 3 Si 2.05
C 0.3333 0.6667 0.7231  4 C 1.90-2.12, 3 Si 2.05

5.
A relaxed Co2P crystal, computed with PBE.

Values from the calculation:
Formation energy in kJ/mol of atoms: -7.95

Cell lengths 2.6550, 2.6550, 5.3919 Å; angles 90.00, 90.00, 120.00 degrees
Closest atoms and distances in Å follow each position.
Positions (direct):
Co 0.3333 0.6667 0.3083  3 P 2.26
Co 0.6667 0.3333 0.6917  3 P 2.26
P 0.0000 0.0000 0.0000  6 Co 2.26

6.
A relaxed K3SrBr crystal, computed with PBE.

Values from the calculation:
Energy relative to the lowest polymorph listed for this composition in kJ/mol of formula units: 0
Formation energy (no corrections) in eV per formula unit: -2.6

Cell lengths 6.6306, 6.6306, 6.6306 Å; angles 90.00, 90.00, 90.00 degrees
Closest atoms and distances in Å follow each position.
Positions (direct):
K 0.0000 0.0000 0.5000  2 Br 3.32
K 0.0000 0.5000 0.0000  2 Br 3.32
K 0.5000 0.0000 0.0000  2 Br 3.32
Sr 0.5000 0.5000 0.5000  12 K 4.69
Br 0.0000 0.0000 0.0000  6 K 3.32

7.
A relaxed Tm4IrSe2 crystal, computed with PBE.

Values from the calculation:
Formation energy (no corrections) in eV per formula unit: -8.7

Cell lengths 6.7578, 6.7578, 13.9321 Å; angles 90.00, 90.00, 147.29 degrees
Closest atoms and distances in Å follow each position.
Positions (direct):
Tm 0.0000 0.0000 0.0000  4 Se 2.80
Tm 0.0000 0.0000 0.5000  4 Se 2.80
Tm 0.2962 0.7038 0.6305  2 Ir 2.84, 3 Se 2.84-2.91
Tm 0.2962 0.7038 0.8695  2 Ir 2.84, 3 Se 2.84-2.91
Tm 0.4511 0.5489 0.2500  2 Ir 2.75, 2 Se 2.85
Tm 0.5489 0.4511 0.7500  2 Ir 2.75, 2 Se 2.85
Tm 0.7038 0.2962 0.1305  2 Ir 2.84, 3 Se 2.84-2.91
Tm 0.7038 0.2962 0.3695  2 Ir 2.84, 3 Se 2.84-2.91
Ir 0.1044 0.8956 0.2500  6 Tm 2.75-2.84
Ir 0.8956 0.1044 0.7500  6 Tm 2.75-2.84
Se 0.3581 0.6419 0.0649  6 Tm 2.80-2.91
Se 0.3581 0.6419 0.4351  6 Tm 2.80-2.91
Se 0.6419 0.3581 0.5649  6 Tm 2.80-2.91
Se 0.6419 0.3581 0.9351  6 Tm 2.80-2.91

8.
A relaxed VPSe3 crystal, computed with PBE.

Values from the calculation:
Energy relative to the lowest polymorph listed for this composition in kJ/mol of formula units: 64
Formation energy (no corrections) in eV per formula unit: 2.8

Cell lengths 4.7952, 4.7952, 4.7952 Å; angles 90.00, 90.00, 90.00 degrees
Closest atoms and distances in Å follow each position.
Positions (direct):
V 0.0000 0.0000 0.0000  12 Se 3.39
P 0.5000 0.5000 0.5000  6 Se 2.40
Se 0.0000 0.5000 0.5000  2 P 2.40
Se 0.5000 0.0000 0.5000  2 P 2.40
Se 0.5000 0.5000 0.0000  2 P 2.40

9.
A relaxed ThH2Pb crystal, computed with PBE.

Values from the calculation:
Energy relative to the lowest polymorph listed for this composition in kJ/mol of formula units: 16

Cell lengths 6.4564, 6.4564, 6.4831 Å; angles 90.00, 90.00, 145.99 degrees
Closest atoms and distances in Å follow each position.
Positions (direct):
Th 0.2136 0.7864 0.7500  6 H 2.27-2.28
Th 0.7864 0.2136 0.2500  6 H 2.27-2.28
H 0.3036 0.6964 0.0550  3 Th 2.27-2.28, 3 H 2.41-2.53
H 0.3036 0.6964 0.4450  3 Th 2.27-2.28, 3 H 2.41-2.53
H 0.6964 0.3036 0.5550  3 Th 2.27-2.28, 3 H 2.41-2.53
H 0.6964 0.3036 0.9450  3 Th 2.27-2.28, 3 H 2.41-2.53
Pb 0.0523 0.9477 0.2500  6 H 3.26-3.35, 3 Th 3.28-3.45, 2 Pb 3.49
Pb 0.9477 0.0523 0.7500  6 H 3.26-3.35, 3 Th 3.28-3.45, 2 Pb 3.49

10.
A relaxed RbCa2Ac3Te6 crystal, computed with PBE.

Values from the calculation:
Formation energy (no corrections) in eV per formula unit: -17.8

Cell lengths 10.5657, 10.5657, 9.5585 Å; angles 103.27, 103.27, 25.64 degrees
Closest atoms and distances in Å follow each position.
Positions (direct):
Rb 0.0000 0.0000 0.0000  6 Te 3.43-3.46
Ca 0.3325 0.3325 0.6657  6 Te 3.24-3.29
Ca 0.6675 0.6675 0.3343  6 Te 3.24-3.29
Ac 0.0000 0.0000 0.5000  6 Te 3.27-3.41
Ac 0.3372 0.3372 0.1675  6 Te 3.30-3.42
Ac 0.6628 0.6628 0.8325  6 Te 3.30-3.42
Te 0.1703 0.1703 0.5765  3 Ca 3.25-3.29, 3 Ac 3.41-3.42
Te 0.1726 0.1726 0.0966  2 Ca 3.28, 3 Ac 3.30-3.42, 1 Rb 3.46
Te 0.4942 0.4942 0.7358  1 Ca 3.24, 3 Ac 3.27-3.38, 2 Rb 3.43
Te 0.5058 0.5058 0.2642  1 Ca 3.24, 3 Ac 3.27-3.38, 2 Rb 3.43
Te 0.8274 0.8274 0.9034  2 Ca 3.28, 3 Ac 3.30-3.42, 1 Rb 3.46
Te 0.8297 0.8297 0.4235  3 Ca 3.25-3.29, 3 Ac 3.41-3.42

11.
A relaxed SiAsRu4 crystal, computed with PBE.

Values from the calculation:
Formation energy (no corrections) in eV per formula unit: 3.9

Cell lengths 5.0991, 5.0991, 5.0991 Å; angles 60.00, 60.00, 60.00 degrees
Closest atoms and distances in Å follow each position.
Positions (direct):
Si 0.0000 0.0000 0.0000  12 Ru 2.99, 4 As 3.12
As 0.7500 0.7500 0.7500  12 Ru 2.99, 4 Si 3.12
Ru 0.3750 0.3750 0.3750  6 Ru 2.55
Ru 0.3750 0.3750 0.8749  6 Ru 2.55
Ru 0.3750 0.8749 0.3750  6 Ru 2.55
Ru 0.8749 0.3750 0.3750  6 Ru 2.55

Quick rundown of M_tot, same order as above: 0.00; 0.00; 0.00; 0.00; 0.45; 0.00; 0.00; 0.47; 0.00; 0.00; 0.00 μB/atom